Record 1
A relaxed structure of Nd2DyTlO6. Source: the Alexandria database, functional PBE-GGA.

Lattice parameters (Å, degrees): 5.9680 5.9680 6.1906 61.18 61.18 60.00
Sites, in units of the cell vectors:
1 Nd 0.5280 0.5279 0.4161
2 Nd 0.0303 0.0303 0.9090
3 Dy 0.8091 0.8091 0.5728
4 Tl 0.3081 0.3080 0.0759
5 O 0.6173 0.1903 0.2607
6 O 0.1903 0.9317 0.2607
7 O 0.9317 0.6173 0.2607
8 O 0.4376 0.6988 0.7531
9 O 0.6987 0.1106 0.7531
10 O 0.1106 0.4376 0.7531

Properties
- calculated total energy (eV per cell) = -73.2
- crystal system = trigonal
- symmetry = No. 146
- volume (A^3/atom) = 15.9

Record 2
A relaxed structure of Pr4Cl. Source: the Alexandria database, functional PBE-GGA.

Lattice parameters (Å, degrees): 5.5534 5.5534 5.5534 90.00 90.00 90.00
Sites, in units of the cell vectors:
1 Pr 0.0000 0.0000 0.0000
2 Pr 0.5000 0.0000 0.5000
3 Pr 0.0000 0.5000 0.5000
4 Pr 0.5000 0.5000 0.0000
5 Cl 0.5000 0.5000 0.5000

Properties
- calculated total energy (eV per cell) = -23.6
- crystal system = cubic
- symmetry = No. 221
- volume (A^3/atom) = 34.3

Record 3
A relaxed structure of La3CdS. Source: the Alexandria database, functional PBE-GGA.

Lattice parameters (Å, degrees): 5.5123 5.5123 5.5123 90.00 90.00 90.00
Sites, in units of the cell vectors:
1 S 0.0000 0.0000 0.0000
2 Cd 0.5000 0.5000 0.5000
3 La 0.0000 0.5000 0.0000
4 La 0.0000 0.0000 0.5000
5 La 0.5000 0.0000 0.0000

Properties
- calculated total energy (eV per cell) = -24.0
- crystal system = cubic
- symmetry = No. 221
- ΔE to the lowest computed polymorph (eV/atom) = 0.000
- volume (A^3/atom) = 33.5

Record 4
A relaxed structure of NdHo. Source: the Alexandria database, functional PBE-GGA.

Lattice parameters (Å, degrees): 3.6059 7.2026 5.0875 90.00 90.00 90.00
Sites, in units of the cell vectors:
1 Nd 0.2504 0.6278 0.2500
2 Nd 0.7496 0.3722 0.7500
3 Ho 0.2496 0.1211 0.2500
4 Ho 0.7504 0.8789 0.7500

Properties
- calculated total energy (eV per cell) = -18.6
- crystal system = orthorhombic
- symmetry = No. 59
- ΔE to the lowest computed polymorph (eV/atom) = 0.008
- volume (A^3/atom) = 33.0

Record 5
A relaxed structure of Li3BiO4. Source: the Alexandria database, functional PBE-GGA.

Lattice parameters (Å, degrees): 5.2499 5.7468 6.6638 90.00 90.00 90.00
Sites, in units of the cell vectors:
1 Li 0.5058 0.8183 0.0000
2 Li 0.0070 0.6598 0.2504
3 Li 0.5070 0.3402 0.2496
4 Li 0.0058 0.1817 0.5000
5 Li 0.5070 0.3402 0.7504
6 Li 0.0070 0.6598 0.7496
7 Bi 0.0029 0.1607 0.0000
8 Bi 0.5029 0.8393 0.5000
9 O 0.1256 0.8241 0.0000
10 O 0.6115 0.1657 0.0000
11 O 0.1277 0.3323 0.2494
12 O 0.6277 0.6677 0.2506
13 O 0.1115 0.8343 0.5000
14 O 0.6256 0.1759 0.5000
15 O 0.6277 0.6677 0.7494
16 O 0.1277 0.3323 0.7506

Properties
- calculated total energy (eV per cell) = -83.1
- crystal system = orthorhombic
- symmetry = No. 31
- volume (A^3/atom) = 12.6

Record 6
A relaxed structure of Pr8GeIr2. Source: the Alexandria database, functional PBE-GGA.

Lattice parameters (Å, degrees): 6.4751 7.7964 7.7964 112.44 100.44 100.44
Sites, in units of the cell vectors:
1 Pr 0.5859 0.3442 0.0776
2 Pr 0.5859 0.0776 0.3442
3 Pr 0.1869 0.3700 0.3700
4 Pr 0.9786 0.2173 0.7851
5 Pr 0.9786 0.7851 0.2173
6 Pr 0.7924 0.6493 0.6493
7 Pr 0.3662 0.9247 0.6552
8 Pr 0.3662 0.6552 0.9247
9 Ge 0.1784 0.0085 0.0085
10 Ir 0.4903 0.6871 0.3149
11 Ir 0.4903 0.3149 0.6871

Properties
- calculated total energy (eV per cell) = -64.3
- crystal system = monoclinic
- symmetry = No. 8
- volume (A^3/atom) = 31.3

Record 7
A relaxed structure of Tl2Zn2Co. Source: the Alexandria database, functional PBE-GGA.

Lattice parameters (Å, degrees): 7.2035 7.2035 4.1091 90.00 90.00 90.00
Sites, in units of the cell vectors:
1 Tl 0.3214 0.8214 0.0000
2 Tl 0.8214 0.6786 0.0000
3 Tl 0.6786 0.1786 0.0000
4 Tl 0.1786 0.3214 0.0000
5 Co 0.0000 0.0000 0.0000
6 Co 0.5000 0.5000 0.0000
7 Zn 0.1303 0.6303 0.5000
8 Zn 0.6303 0.8697 0.5000
9 Zn 0.8697 0.3697 0.5000
10 Zn 0.3697 0.1303 0.5000

Properties
- calculated total energy (eV per cell) = -23.3
- crystal system = tetragonal
- symmetry = No. 127
- ΔE to the lowest computed polymorph (eV/atom) = 0.125
- volume (A^3/atom) = 21.3

Record 8
A relaxed structure of HfGaS2. Source: the Alexandria database, functional PBE-GGA.

Lattice parameters (Å, degrees): 8.0038 8.0038 8.0038 25.34 25.34 25.34
Sites, in units of the cell vectors:
1 S 0.8943 0.8943 0.8943
2 S 0.1057 0.1057 0.1057
3 Hf 0.0000 0.0000 0.0000
4 Ga 0.5000 0.5000 0.5000

Properties
- calculated total energy (eV per cell) = -22.9
- crystal system = trigonal
- symmetry = No. 166
- volume (A^3/atom) = 20.7